This record from Alexandria via LeMat-Bulk describes crystalline K3MnTc2O8 at its relaxed geometry. The functional is GGA+U.

Summary:
V (Å³/atom): 16.739
Final energy (eV/f.u.): -93.22
N(E_F) (states/eV/atom): 0.682

Geometry as POSCAR:
```
K3MnTc2O8
1.0
5.933 0.000 0.000
-2.967 5.138 0.000
0.000 0.000 7.686
K Mn Tc O
3 1 2 8
direct
0.000 0.000 0.000
0.333 0.667 0.661
0.667 0.333 0.339
0.000 0.000 0.500
0.333 0.667 0.229
0.667 0.333 0.771
0.169 0.338 0.324
0.169 0.831 0.324
0.333 0.667 0.998
0.338 0.169 0.676
0.662 0.831 0.324
0.667 0.333 0.002
0.831 0.169 0.676
0.831 0.662 0.676
```